# 1
Here is crystalline Cd22Ag at its relaxed geometry from the Alexandria database. Energies are from GGA-PBE.

Unit cell a=16.1941 b=16.1941 c=16.1941 alpha=90.00 beta=90.00 gamma=90.00
With the nearest neighbours (Å) after each atom.
Space group Fd-3m (No. 227, origin choice 2)
Symmetry-distinct sites (fractional):
Cd (0.0000, 0.0000, 0.0000) x16  6 Cd 2.87
Cd (0.0000, 0.0000, 0.5000) x16  12 Cd 3.39, 2 Ag 3.51
Cd (0.0163, 0.3750, 0.3750) x48  4 Cd 2.87-3.05
Cd (0.0621, 0.0621, 0.8175) x96  4 Cd 2.88-3.05
Ag (0.1250, 0.1250, 0.6250) x8  16 Cd 3.43-3.51

Values from the calculation:
- Formation enthalpy at 0 K: 0.074 eV per atom
- M_tot: 0.00 μB per formula unit


# 2
Here is crystalline TlCuAsBr2 at its relaxed geometry from the Alexandria database. Energies are from GGA-PBE.

Unit cell a=5.4032 b=5.4032 c=4.7155 alpha=90.00 beta=90.00 gamma=90.00
With the nearest neighbours (Å) after each atom.
Space group P4/mmm (No. 123)
Symmetry-distinct sites (fractional):
Tl (0.0000, 0.0000, 0.0000) x1  8 Br 3.59, 4 As 3.82
Cu (0.5000, 0.5000, 0.5000) x1  2 As 2.36
As (0.5000, 0.5000, 0.0000) x1  2 Cu 2.36
Br (0.0000, 0.5000, 0.5000) x2  2 Cu 2.70

Values from the calculation:
- Energy above the most stable polymorph in this dataset: 0.0 kJ per mole of atoms
- M_tot: 1.61 μB per formula unit
- Formation energy from raw total energies: -0.025 eV per atom


# 3
Here is crystalline SmErP at its relaxed geometry from the Alexandria database. Energies are from GGA-PBE.

Unit cell a=3.9276 b=3.9276 c=6.4358 alpha=90.00 beta=90.00 gamma=120.00
With the nearest neighbours (Å) after each atom.
Space group P3m1 (No. 156)
Symmetry-distinct sites (fractional):
Sm (0.0000, 0.0000, 0.0000) x1  3 P 2.81
Er (0.3333, 0.6667, 0.4958) x1  3 P 2.74
P (0.6667, 0.3333, 0.2581) x1  3 Er 2.74, 3 Sm 2.81

Values from the calculation:
- Formation enthalpy at 0 K: -0.945 eV per atom
- M_tot: 0.10 μB per formula unit


# 4
Here is crystalline La2TbHo3As6 at its relaxed geometry from the Alexandria database. Energies are from GGA-PBE.

Unit cell a=18.2999 b=4.2039 c=8.3992 alpha=90.00 beta=103.22 gamma=90.00
With the nearest neighbours (Å) after each atom.
Space group C2/m (No. 12)
Symmetry-distinct sites (fractional):
La (0.1653, 0.0000, 0.3311) x4  6 As 3.01-3.05
Tb (0.0000, 0.5000, 0.0000) x2  6 As 2.97-2.98
Ho (0.0000, 0.5000, 0.5000) x2  6 As 2.91-2.97
Ho (0.1669, 0.0000, 0.8343) x4  6 As 2.91-2.97
As (0.0038, 0.0000, 0.7508) x4  3 Ho 2.91-2.97, 2 Tb 2.98, 1 La 3.01
As (0.1634, 0.5000, 0.5916) x4  3 Ho 2.91-2.92, 3 La 3.04-3.05
As (0.1667, 0.5000, 0.0731) x4  3 Ho 2.91-2.97, 1 Tb 2.97, 2 La 3.02

Values from the calculation:
- Formation enthalpy at 0 K: -1.530 eV per atom
- M_tot: 0.00 μB per formula unit


# 5
Here is crystalline BaCoAs2Se at its relaxed geometry from the Alexandria database. Energies are from GGA-PBE.

Unit cell a=4.6102 b=4.6102 c=5.5711 alpha=90.00 beta=90.00 gamma=90.00
With the nearest neighbours (Å) after each atom.
Space group P4/mmm (No. 123)
Symmetry-distinct sites (fractional):
Ba (0.0000, 0.0000, 0.0000) x1  4 Se 3.26, 8 As 3.62
Co (0.5000, 0.5000, 0.5000) x1  4 As 2.31
As (0.0000, 0.5000, 0.5000) x2  2 Co 2.31
Se (0.5000, 0.5000, 0.0000) x1  2 Co 2.79

Values from the calculation:
- Energy above the most stable polymorph in this dataset: 0.0 kJ per mole of atoms
- M_tot: 0.24 μB per formula unit
- Formation energy from raw total energies: -0.449 eV per atom


# 6
Here is crystalline Li2Zr2Hg at its relaxed geometry from the Alexandria database. Energies are from GGA-PBE.

Unit cell a=6.3396 b=6.3396 c=4.6578 alpha=90.00 beta=90.00 gamma=90.00
With the nearest neighbours (Å) after each atom.
Space group P4/mbm (No. 127)
Symmetry-distinct sites (fractional):
Li (0.1279, 0.3721, 0.0000) x4  1 Li 2.29, 2 Hg 2.49
Zr (0.1778, 0.6778, 0.5000) x4  6 Li 2.91-3.05, 1 Zr 3.19
Hg (0.0000, 0.0000, 0.0000) x2  4 Li 2.49

Values from the calculation:
- Formation enthalpy at 0 K: 0.086 eV per atom
- M_tot: 0.00 μB per formula unit


# 7
Here is crystalline BaMn3As at its relaxed geometry from the Alexandria database. Energies are from GGA-PBE.

Unit cell a=5.1376 b=5.1376 c=5.1376 alpha=90.00 beta=90.00 gamma=90.00
With the nearest neighbours (Å) after each atom.
Space group Pm-3m (No. 221)
Symmetry-distinct sites (fractional):
Ba (0.0000, 0.0000, 0.0000) x1  6 Mn 2.57
Mn (0.0000, 0.0000, 0.5000) x3  2 Ba 2.57
As (0.5000, 0.5000, 0.5000) x1  12 Mn 3.63

Values from the calculation:
- Energy above the most stable polymorph in this dataset: 161.0 kJ per mole of atoms
- Formation enthalpy at 0 K: 2.075 eV per atom
- M_tot: 11.25 μB per formula unit


# 8
Here is crystalline Ca2LaSm at its relaxed geometry from the Alexandria database. Energies are from GGA-PBE.

Unit cell a=3.7750 b=3.7750 c=10.8099 alpha=90.00 beta=90.00 gamma=90.00
With the nearest neighbours (Å) after each atom.
Space group P4mm (No. 99)
Symmetry-distinct sites (fractional):
Ca (0.0000, 0.0000, 0.0000) x1  8 Ca 3.78-3.93, 4 La 3.89
Ca (0.5000, 0.5000, 0.2670) x1  8 Ca 3.78-3.93, 4 Sm 3.79
La (0.5000, 0.5000, 0.7376) x1  4 Sm 3.59, 4 La 3.78, 4 Ca 3.89
Sm (0.0000, 0.0000, 0.5161) x1  4 La 3.59, 4 Sm 3.78, 4 Ca 3.79

Values from the calculation:
- Energy above the most stable polymorph in this dataset: 0.0 kJ per mole of atoms
- Formation enthalpy at 0 K: 0.031 eV per atom
- M_tot: 0.00 μB per formula unit


| no. | electronic total energy (eV per atom) |
| --- | --- |
| 1 | -0.925 |
| 2 | -2.917 |
| 3 | -5.843 |
| 4 | -6.206 |
| 5 | -4.811 |
| 6 | -4.159 |
| 7 | -4.741 |
| 8 | -3.381 |